1.
This record from the Alexandria database describes a relaxed Fe2WAuC crystal. The functional is PBE.

Computed properties:
Total magnetization in μB per atom: 0.792
E in Ry/atom: -0.462
Energy relative to the elements in meV/atom: 2185.1

Cell and atoms, written as POSCAR:
```
Fe2WAuC
1.0
4.813 0.000 0.000
0.000 4.813 0.000
0.000 0.000 3.735
Fe W Au C
2 1 1 1
Direct
0.000 0.500 0.000
0.500 0.000 0.000
0.000 0.000 0.500
0.500 0.500 0.000
0.500 0.500 0.500
```

=====

2.
This record from the Alexandria database describes a relaxed Y2FeAuC crystal. The functional is PBE.

Computed properties:
Total magnetization in μB per atom: 0.050
E in Ry/atom: -0.536
Energy relative to the elements in meV/atom: -519.2

Cell and atoms, written as POSCAR:
```
Y2FeAuC
1.0
5.012 0.000 0.000
0.000 5.012 0.000
0.000 0.000 3.667
Y Fe Au C
2 1 1 1
Direct
0.000 0.500 0.000
0.500 0.000 0.000
0.000 0.000 0.500
0.500 0.500 0.500
0.000 0.000 0.000
```

=====

3.
This record from the Alexandria database describes a relaxed Zr2FeAuC crystal. The functional is PBE.

Computed properties:
Total magnetization in μB per atom: 0.221
E in Ry/atom: -0.593
Energy relative to the elements in meV/atom: -451.9

Cell and atoms, written as POSCAR:
```
Zr2FeAuC
1.0
4.622 0.000 0.000
0.000 4.622 0.000
0.000 0.000 3.755
Zr Fe Au C
2 1 1 1
Direct
0.000 0.500 0.000
0.500 0.000 0.000
0.000 0.000 0.500
0.500 0.500 0.500
0.000 0.000 0.000
```

=====

4.
This record from the Alexandria database describes a relaxed GaAuC crystal. The functional is PBE.

Computed properties:
Total magnetization in μB per atom: 0.000
E in Ry/atom: -0.316
Energy relative to the elements in meV/atom: 877.6

Cell and atoms, written as POSCAR:
```
GaAuC
1.0
7.832 0.000 0.000
0.000 3.256 0.000
0.000 0.000 7.050
Ga Au C
4 4 4
Direct
0.032 0.250 0.167
0.468 0.750 0.667
0.532 0.250 0.333
0.968 0.750 0.833
0.141 0.750 0.508
0.359 0.250 0.008
0.641 0.750 0.992
0.859 0.250 0.492
0.158 0.750 0.042
0.342 0.250 0.542
0.658 0.750 0.458
0.842 0.250 0.958
```

=====

5.
This record from the Alexandria database describes a relaxed GaAuC crystal. The functional is PBE.

Computed properties:
Total magnetization in μB per atom: 0.000
E in Ry/atom: -0.321
Energy relative to the elements in meV/atom: 802.6

Cell and atoms, written as POSCAR:
```
GaAuC
1.0
11.844 0.000 0.000
0.000 3.202 0.000
0.000 0.000 4.787
Ga Au C
4 4 4
Direct
0.193 0.250 0.158
0.307 0.750 0.658
0.693 0.250 0.342
0.807 0.750 0.842
0.062 0.250 0.661
0.438 0.750 0.161
0.562 0.250 0.839
0.938 0.750 0.339
0.169 0.750 0.905
0.331 0.250 0.405
0.669 0.750 0.595
0.831 0.250 0.095
```

=====

6.
This record from the Alexandria database describes a relaxed GaAuC crystal. The functional is PBE.

Computed properties:
Total magnetization in μB per atom: 0.000
E in Ry/atom: -0.338
Energy relative to the elements in meV/atom: 578.1

Cell and atoms, written as POSCAR:
```
GaAuC
1.0
3.941 0.000 0.000
-1.946 3.865 0.000
-0.044 -1.332 7.629
Ga Au C
2 2 2
Direct
0.000 0.000 0.000
0.310 0.635 0.721
0.012 0.028 0.334
0.656 0.321 0.859
0.292 0.594 0.460
0.423 0.845 0.368
```

=====

7.
This record from the Alexandria database describes a relaxed GaAuC crystal. The functional is PBE.

Computed properties:
Total magnetization in μB per atom: 0.000
E in Ry/atom: -0.341
Energy relative to the elements in meV/atom: 536.0

Cell and atoms, written as POSCAR:
```
GaAuC
1.0
4.146 0.000 0.000
-1.787 4.708 0.000
-0.406 -0.574 5.785
Ga Au C
2 2 2
Direct
0.000 0.000 0.000
0.277 0.499 0.864
0.471 0.858 0.231
0.931 0.726 0.572
0.350 0.086 0.529
0.509 0.356 0.593
```

=====

8.
This record from the Alexandria database describes a relaxed GaAuC crystal. The functional is PBE.

Computed properties:
Total magnetization in μB per atom: 0.000
E in Ry/atom: -0.327
Energy relative to the elements in meV/atom: 729.6

Cell and atoms, written as POSCAR:
```
GaAuC
1.0
7.172 0.000 0.000
0.000 6.395 0.000
0.000 0.000 8.221
Ga Au C
4 4 4
Direct
0.000 0.000 0.000
0.000 0.500 0.000
0.500 0.000 0.500
0.500 0.500 0.500
0.249 0.250 0.250
0.251 0.750 0.750
0.749 0.250 0.250
0.751 0.750 0.750
0.001 0.750 0.881
0.499 0.250 0.381
0.501 0.750 0.619
0.999 0.250 0.119
```

=====

9.
This record from the Alexandria database describes a relaxed GaAuC crystal. The functional is PBE.

Computed properties:
Total magnetization in μB per atom: 0.000
E in Ry/atom: -0.341
Energy relative to the elements in meV/atom: 534.3

Cell and atoms, written as POSCAR:
```
GaAuC
1.0
4.265 0.000 0.000
0.000 1.743 3.121
0.000 -1.743 3.121
Ga Au C
1 1 1
Direct
0.000 0.000 0.000
0.500 0.272 0.272
0.000 0.338 0.338
```

=====

10.
This record from the Alexandria database describes a relaxed GaAuC crystal. The functional is PBE.

Computed properties:
Total magnetization in μB per atom: 0.000
E in Ry/atom: -0.333
Energy relative to the elements in meV/atom: 650.4

Cell and atoms, written as POSCAR:
```
GaAuC
1.0
3.505 0.000 0.000
1.021 4.222 0.000
1.062 0.749 6.797
Ga Au C
2 2 2
Direct
0.000 0.000 0.000
0.495 0.372 0.656
0.028 0.925 0.454
0.205 0.450 0.191
0.026 0.422 0.512
0.462 0.196 0.938
```

=====

11.
This record from the Alexandria database describes a relaxed Ga2AuC crystal. The functional is PBE.

Computed properties:
Total magnetization in μB per atom: 0.000
E in Ry/atom: -0.316
Energy relative to the elements in meV/atom: 344.6

Cell and atoms, written as POSCAR:
```
Ga2AuC
1.0
-2.814 2.814 4.350
2.814 -2.814 4.350
2.814 2.814 -4.350
Ga Au C
4 2 2
Direct
0.031 0.625 0.906
0.375 0.281 0.406
0.719 0.125 0.094
0.875 0.969 0.594
0.250 0.750 0.500
0.500 0.500 0.000
0.000 0.000 0.000
0.750 0.250 0.500
```

=====

12.
This record from the Alexandria database describes a relaxed GaAuC crystal. The functional is PBE.

Computed properties:
Total magnetization in μB per atom: 0.000
E in Ry/atom: -0.342
Energy relative to the elements in meV/atom: 527.0

Cell and atoms, written as POSCAR:
```
GaAuC
1.0
3.329 0.000 0.000
-0.849 5.175 0.000
-0.257 -2.476 6.352
Ga Au C
2 2 2
Direct
0.000 0.000 0.000
0.209 0.419 0.880
0.549 0.710 0.271
0.744 0.571 0.653
0.537 0.084 0.209
0.590 0.351 0.327
```

=====

13.
This record from the Alexandria database describes a relaxed Ga3AuC crystal. The functional is PBE.

Computed properties:
Total magnetization in μB per atom: 0.423
E in Ry/atom: -0.218
Excess energy over the best structure of this formula in the dataset in meV per atom: 786
Energy relative to the elements in meV/atom: 1355.0

Cell and atoms, written as POSCAR:
```
Ga3AuC
1.0
4.957 0.000 0.000
0.000 4.957 0.000
0.000 0.000 4.957
Ga Au C
3 1 1
Direct
0.000 0.000 0.500
0.000 0.500 0.000
0.500 0.000 0.000
0.000 0.000 0.000
0.500 0.500 0.500
```

=====

14.
This record from the Alexandria database describes a relaxed GaAuC crystal. The functional is PBE.

Computed properties:
Total magnetization in μB per atom: 0.000
E in Ry/atom: -0.355
Energy relative to the elements in meV/atom: 350.0

Cell and atoms, written as POSCAR:
```
GaAuC
1.0
3.254 0.000 0.000
-0.012 3.736 0.000
-1.610 -1.871 8.715
Ga Au C
2 2 2
Direct
0.107 0.108 0.215
0.893 0.892 0.785
0.207 0.707 0.414
0.793 0.293 0.586
0.463 0.962 0.926
0.537 0.038 0.074
```

=====

15.
This record from the Alexandria database describes a relaxed GaAuC crystal. The functional is PBE.

Computed properties:
Total magnetization in μB per atom: 0.000
E in Ry/atom: -0.339
Energy relative to the elements in meV/atom: 570.1

Cell and atoms, written as POSCAR:
```
GaAuC
1.0
3.517 0.000 0.000
0.000 4.191 3.101
0.000 -4.191 3.101
Ga Au C
2 2 2
Direct
0.180 0.250 0.750
0.820 0.750 0.250
0.500 0.311 0.311
0.500 0.811 0.811
0.288 0.567 0.067
0.712 0.067 0.567
```

=====

16.
This record from the Alexandria database describes a relaxed GaAuC crystal. The functional is PBE.

Computed properties:
Total magnetization in μB per atom: 0.000
E in Ry/atom: -0.318
Energy relative to the elements in meV/atom: 843.0

Cell and atoms, written as POSCAR:
```
GaAuC
1.0
3.770 0.000 0.000
0.000 3.770 0.000
0.000 0.000 7.129
Ga Au C
2 2 2
Direct
0.250 0.750 0.000
0.750 0.250 0.000
0.250 0.250 0.422
0.750 0.750 0.578
0.250 0.250 0.133
0.750 0.750 0.867
```

=====

17.
This record from the Alexandria database describes a relaxed GaAuC crystal. The functional is PBE.

Computed properties:
Total magnetization in μB per atom: 0.000
E in Ry/atom: -0.269
Energy relative to the elements in meV/atom: 1509.9

Cell and atoms, written as POSCAR:
```
GaAuC
1.0
4.499 0.000 0.000
-2.250 3.896 0.000
0.000 0.000 7.318
Ga Au C
2 2 2
Direct
0.000 0.000 0.250
0.000 0.000 0.750
0.333 0.667 0.250
0.667 0.333 0.750
0.000 0.000 0.000
0.000 0.000 0.500
```

=====

18.
This record from the Alexandria database describes a relaxed GaAuC crystal. The functional is PBE.

Computed properties:
Total magnetization in μB per atom: 0.000
E in Ry/atom: -0.341
Energy relative to the elements in meV/atom: 540.6

Cell and atoms, written as POSCAR:
```
GaAuC
1.0
5.284 0.000 0.000
0.000 3.428 0.000
-1.752 0.000 6.232
Ga Au C
2 2 2
Direct
0.000 0.000 0.000
0.333 0.500 0.830
0.456 0.500 0.285
0.598 0.000 0.675
0.064 0.500 0.264
0.829 0.500 0.275
```

=====

19.
This record from the Alexandria database describes a relaxed GaAuC crystal. The functional is PBE.

Computed properties:
Total magnetization in μB per atom: 0.000
E in Ry/atom: -0.315
Energy relative to the elements in meV/atom: 894.0

Cell and atoms, written as POSCAR:
```
GaAuC
1.0
3.181 0.000 0.000
0.000 3.181 0.000
0.000 0.000 4.271
Ga Au C
1 1 1
Direct
0.000 0.000 0.000
0.500 0.500 0.500
0.500 0.500 0.000
```

=====

20.
This record from the Alexandria database describes a relaxed GaAuC crystal. The functional is PBE.

Computed properties:
Total magnetization in μB per atom: 0.000
E in Ry/atom: -0.340
Energy relative to the elements in meV/atom: 549.3

Cell and atoms, written as POSCAR:
```
GaAuC
1.0
4.358 0.000 0.000
1.912 4.670 0.000
1.848 1.441 5.634
Ga Au C
2 2 2
Direct
0.000 0.000 0.000
0.434 0.526 0.861
0.349 0.095 0.221
0.855 0.834 0.570
0.240 0.451 0.588
0.468 0.211 0.560
```